This record from the Alexandria database describes crystalline Sm2NpPt9 at its relaxed geometry. The functional is PBE.

## Properties
E_form: -0.790 eV per atom
Energy: -7.186 eV per atom
Volume: 227.4 Å³/cell
Fermi-level density of states: 17.0 states/eV per cell

Lattice parameters (Å, degrees): 9.4400 9.4400 9.4400 33.43 33.43 33.43
Element x y z (fractional)
Sm: 0.1391 0.1391 0.1391
Sm: 0.8609 0.8609 0.8609
Np: 0.0000 0.0000 0.0000
Pt: 0.0810 0.5864 0.5864
Pt: 0.3330 0.3330 0.3330
Pt: 0.4136 0.4136 0.9190
Pt: 0.4136 0.9190 0.4136
Pt: 0.5000 0.5000 0.5000
Pt: 0.5864 0.0810 0.5864
Pt: 0.5864 0.5864 0.0810
Pt: 0.6670 0.6670 0.6670
Pt: 0.9190 0.4136 0.4136


This record from the Alexandria database describes crystalline Zr2Tl2Tc at its relaxed geometry. The functional is PBE.

## Properties
E_form: 0.320 eV per atom
Energy: -6.119 eV per atom
Volume: 237.4 Å³/cell
Fermi-level density of states: 7.3 states/eV per cell

Lattice parameters (Å, degrees): 6.8474 6.8474 5.0631 90.00 90.00 90.00
Element x y z (fractional)
Zr: 0.1607 0.3393 0.0000
Zr: 0.3393 0.8393 0.0000
Zr: 0.6607 0.1607 0.0000
Zr: 0.8393 0.6607 0.0000
Tl: 0.1654 0.6654 0.5000
Tl: 0.3346 0.1654 0.5000
Tl: 0.6654 0.8346 0.5000
Tl: 0.8346 0.3346 0.5000
Tc: 0.0000 0.0000 0.0000
Tc: 0.5000 0.5000 0.0000


This record from the Alexandria database describes crystalline YMgCu2 at its relaxed geometry. The functional is PBE.

## Properties
E_form: -0.140 eV per atom
Energy: -4.203 eV per atom
Volume: 154.9 Å³/cell
Fermi-level density of states: 4.2 states/eV per cell

Lattice parameters (Å, degrees): 6.1810 6.1810 6.2645 90.00 90.00 139.66
Element x y z (fractional)
Y: 0.0697 0.9303 0.7500
Y: 0.9303 0.0697 0.2500
Mg: 0.2154 0.7846 0.2500
Mg: 0.7846 0.2154 0.7500
Cu: 0.3956 0.6044 0.5569
Cu: 0.3956 0.6044 0.9431
Cu: 0.6044 0.3956 0.0569
Cu: 0.6044 0.3956 0.4431